Entry 1:
The following is a DFT calculation (GGA-PBE) of a geometry-optimized MgTlInCl6 structure.

Summary:
Its formation energy without anion corrections is -1357 meV per atom. The space-group type is No. 163.

abc: 6.6326 6.6326 14.2752
angles: 90.00 90.00 120.00
With the nearest neighbours (Å) after each atom.
Sites, in units of the cell vectors:
Mg (0.3333, 0.6667, 0.2500)  6 Cl 2.53
Mg (0.6667, 0.3333, 0.7500)  6 Cl 2.53
Tl (0.0000, 0.0000, 0.0000)  6 Cl 3.26
Tl (0.0000, 0.0000, 0.5000)  6 Cl 3.26
In (0.3333, 0.6667, 0.7500)  6 Cl 2.56
In (0.6667, 0.3333, 0.2500)  6 Cl 2.56
Cl (0.0030, 0.3743, 0.1484)  1 Mg 2.53, 1 In 2.56
Cl (0.0030, 0.6287, 0.3516)  1 Mg 2.53, 1 In 2.56
Cl (0.3713, 0.3743, 0.3516)  1 Mg 2.53, 1 In 2.56
Cl (0.3713, 0.9970, 0.1484)  1 Mg 2.53, 1 In 2.56
Cl (0.3743, 0.0030, 0.6484)  1 Mg 2.53, 1 In 2.56
Cl (0.3743, 0.3713, 0.8516)  1 Mg 2.53, 1 In 2.56
Cl (0.6257, 0.6287, 0.1484)  1 Mg 2.53, 1 In 2.56
Cl (0.6257, 0.9970, 0.3516)  1 Mg 2.53, 1 In 2.56
Cl (0.6287, 0.0030, 0.8516)  1 Mg 2.53, 1 In 2.56
Cl (0.6287, 0.6257, 0.6484)  1 Mg 2.53, 1 In 2.56
Cl (0.9970, 0.3713, 0.6484)  1 Mg 2.53, 1 In 2.56
Cl (0.9970, 0.6257, 0.8516)  1 Mg 2.53, 1 In 2.56

=====

Entry 2:
The following is a DFT calculation (GGA-PBE) of a geometry-optimized MgV2InCl structure.

Summary:
Its formation energy without anion corrections is 1239 meV per atom. The space-group type is No. 123.

abc: 5.1759 5.1759 5.2773
angles: 90.00 90.00 90.00
With the nearest neighbours (Å) after each atom.
Sites, in units of the cell vectors:
Mg (0.0000, 0.0000, 0.0000)  4 V 2.59, 2 In 2.64
V (0.0000, 0.5000, 0.0000)  2 Mg 2.59
V (0.5000, 0.0000, 0.0000)  2 Mg 2.59
In (0.0000, 0.0000, 0.5000)  2 Mg 2.64
Cl (0.5000, 0.5000, 0.5000)  4 In 3.66, 8 V 3.70

=====

Entry 3:
The following is a DFT calculation (GGA-PBE) of a geometry-optimized MgVInCl6 structure.

Summary:
Its formation energy without anion corrections is -1344 meV per atom. The space-group type is No. 149.

abc: 6.4277 6.4277 6.9571
angles: 90.00 90.00 120.00
With the nearest neighbours (Å) after each atom.
Sites, in units of the cell vectors:
Mg (0.0000, 0.0000, 0.0000)  6 Cl 2.52
V (0.3333, 0.6667, 0.0000)  6 Cl 2.40
In (0.6667, 0.3333, 0.5000)  6 Cl 3.18
Cl (0.0465, 0.3471, 0.2001)  1 V 2.40, 1 Mg 2.52
Cl (0.0465, 0.6994, 0.7999)  1 V 2.40, 1 Mg 2.52
Cl (0.3006, 0.3471, 0.7999)  1 V 2.40, 1 Mg 2.52
Cl (0.3006, 0.9535, 0.2001)  1 V 2.40, 1 Mg 2.52
Cl (0.6529, 0.6994, 0.2001)  1 V 2.40, 1 Mg 2.52
Cl (0.6529, 0.9535, 0.7999)  1 V 2.40, 1 Mg 2.52

=====

Entry 4:
The following is a DFT calculation (GGA-PBE) of a geometry-optimized YMg2InCl8 structure.

Summary:
Its formation energy without anion corrections is -1768 meV per atom. The space-group type is No. 2.

abc: 6.4753 6.4924 8.9604
angles: 79.11 78.60 78.48
With the nearest neighbours (Å) after each atom.
Sites, in units of the cell vectors:
Y (0.0000, 0.0000, 0.0000)  6 Cl 2.63-2.68
Mg (0.4512, 0.4567, 0.7112)  5 Cl 2.40-2.54
Mg (0.5488, 0.5433, 0.2888)  5 Cl 2.40-2.54
In (0.0000, 0.0000, 0.5000)  6 Cl 3.15-3.37
Cl (0.2117, 0.7626, 0.2181)  1 Mg 2.48, 1 Y 2.67
Cl (0.2557, 0.2825, 0.9515)  1 Mg 2.47, 1 Y 2.63
Cl (0.2593, 0.8072, 0.7761)  1 Mg 2.48, 1 Y 2.68
Cl (0.3205, 0.3451, 0.5116)  2 Mg 2.40-2.54
Cl (0.6795, 0.6549, 0.4884)  2 Mg 2.40-2.54
Cl (0.7407, 0.1928, 0.2239)  1 Mg 2.48, 1 Y 2.68
Cl (0.7443, 0.7175, 0.0485)  1 Mg 2.47, 1 Y 2.63
Cl (0.7883, 0.2374, 0.7819)  1 Mg 2.48, 1 Y 2.67

=====

Entry 5:
The following is a DFT calculation (GGA-PBE) of a geometry-optimized MgZnIn2Cl structure.

Summary:
Its formation energy without anion corrections is 51 meV per atom. The space-group type is No. 123.

abc: 5.2831 5.2831 5.3374
angles: 90.00 90.00 90.00
With the nearest neighbours (Å) after each atom.
Sites, in units of the cell vectors:
Mg (0.0000, 0.0000, 0.0000)  4 Cl 3.74, 8 In 3.75
Zn (0.5000, 0.5000, 0.5000)  4 In 2.64, 2 Cl 2.67
In (0.0000, 0.5000, 0.5000)  2 Zn 2.64
In (0.5000, 0.0000, 0.5000)  2 Zn 2.64
Cl (0.5000, 0.5000, 0.0000)  2 Zn 2.67

=====

Entry 6:
The following is a DFT calculation (GGA-PBE) of a geometry-optimized MgZrInCl6 structure.

Summary:
Its formation energy without anion corrections is -1525 meV per atom. The space-group type is No. 163.

abc: 6.6862 6.6862 14.0031
angles: 90.00 90.00 120.00
With the nearest neighbours (Å) after each atom.
Sites, in units of the cell vectors:
Mg (0.3333, 0.6667, 0.2500)  6 Cl 2.53
Mg (0.6667, 0.3333, 0.7500)  6 Cl 2.53
Zr (0.3333, 0.6667, 0.7500)  6 Cl 2.57
Zr (0.6667, 0.3333, 0.2500)  6 Cl 2.57
In (0.0000, 0.0000, 0.0000)  6 Cl 3.25
In (0.0000, 0.0000, 0.5000)  6 Cl 3.25
Cl (0.0044, 0.3779, 0.1468)  1 Mg 2.53, 1 Zr 2.57
Cl (0.0044, 0.6265, 0.3532)  1 Mg 2.53, 1 Zr 2.57
Cl (0.3735, 0.3779, 0.3532)  1 Mg 2.53, 1 Zr 2.57
Cl (0.3735, 0.9956, 0.1468)  1 Mg 2.53, 1 Zr 2.57
Cl (0.3779, 0.0044, 0.6468)  1 Mg 2.53, 1 Zr 2.57
Cl (0.3779, 0.3735, 0.8532)  1 Mg 2.53, 1 Zr 2.57
Cl (0.6221, 0.6265, 0.1468)  1 Mg 2.53, 1 Zr 2.57
Cl (0.6221, 0.9956, 0.3532)  1 Mg 2.53, 1 Zr 2.57
Cl (0.6265, 0.0044, 0.8532)  1 Mg 2.53, 1 Zr 2.57
Cl (0.6265, 0.6221, 0.6468)  1 Mg 2.53, 1 Zr 2.57
Cl (0.9956, 0.3735, 0.6468)  1 Mg 2.53, 1 Zr 2.57
Cl (0.9956, 0.6221, 0.8532)  1 Mg 2.53, 1 Zr 2.57

=====

Entry 7:
The following is a DFT calculation (GGA-PBE) of a geometry-optimized Mn3InCl structure.

Summary:
Its formation energy without anion corrections is 615 meV per atom. The energy above the most stable polymorph in this dataset is 0.000 eV/atom. The space-group type is No. 221.

abc: 4.2976 4.2976 4.2976
angles: 90.00 90.00 90.00
With the nearest neighbours (Å) after each atom.
Sites, in units of the cell vectors:
Mn (0.0000, 0.0000, 0.5000)  2 Cl 2.15
Mn (0.0000, 0.5000, 0.0000)  2 Cl 2.15
Mn (0.5000, 0.0000, 0.0000)  2 Cl 2.15
In (0.5000, 0.5000, 0.5000)  12 Mn 3.04
Cl (0.0000, 0.0000, 0.0000)  6 Mn 2.15

=====

Entry 8:
The following is a DFT calculation (GGA-PBE) of a geometry-optimized MnIn2Cl4 structure.

Summary:
Its formation energy without anion corrections is -933 meV per atom. The energy above the most stable polymorph in this dataset is 0.001 eV/atom. The space-group type is No. 11.

abc: 7.0867 7.3932 9.1761
angles: 90.00 110.46 90.00
With the nearest neighbours (Å) after each atom.
Sites, in units of the cell vectors:
Mn (0.2371, 0.2500, 0.2930)  4 Cl 2.34-2.36
Mn (0.7629, 0.7500, 0.7070)  4 Cl 2.34-2.36
In (0.1894, 0.7500, 0.5211)  4 Cl 3.04-3.18
In (0.2723, 0.7500, 0.0620)  6 Cl 3.20-3.37
In (0.7277, 0.2500, 0.9380)  6 Cl 3.20-3.37
In (0.8106, 0.2500, 0.4789)  4 Cl 3.04-3.18
Cl (0.0173, 0.9996, 0.2210)  1 Mn 2.36
Cl (0.0173, 0.5004, 0.2210)  1 Mn 2.36
Cl (0.4299, 0.2500, 0.5598)  1 Mn 2.35
Cl (0.4595, 0.2500, 0.1557)  1 Mn 2.34
Cl (0.5405, 0.7500, 0.8443)  1 Mn 2.34
Cl (0.5701, 0.7500, 0.4402)  1 Mn 2.35
Cl (0.9827, 0.0004, 0.7790)  1 Mn 2.36
Cl (0.9827, 0.4996, 0.7790)  1 Mn 2.36

=====

DOS(E_F) in states/eV/atom, matching the order above: 0.000 2.231 1.025 0.000 0.458 0.564 1.927 0.000